(1)
The following is a DFT calculation (GGA-PBEsol) of a geometry-optimized CaTc4Pt structure.

Results
The value obtained for the formation enthalpy at 0 K is 0.3258 eV per atom. Its crystal system is cubic. The space-group type is No. 216. The raw total energy comes out at -52.207 eV/cell.

POSCAR file:
```
CaTc4Pt
1.0
0.000 3.639 3.639
3.639 0.000 3.639
3.639 3.639 0.000
Ca Tc Pt
1 4 1
Cartesian
0.000 0.000 0.000 Ca
4.545 2.734 2.734 Tc
2.734 4.545 2.734 Tc
2.734 2.734 4.545 Tc
4.545 4.545 4.545 Tc
1.820 1.820 1.820 Pt
```


(2)
The following is a DFT calculation (GGA-PBEsol) of a geometry-optimized Ca2TcPt structure.

Results
The value obtained for the formation enthalpy at 0 K is 0.1352 eV per atom. Its crystal system is tetragonal. The space-group type is No. 99. The raw total energy comes out at -21.956 eV/cell. The value obtained for the offset from the most stable computed form is 0.000 eV/atom.

POSCAR file:
```
Ca2TcPt
1.0
3.324 0.000 0.000
0.000 3.324 0.000
0.000 0.000 8.559
Ca Tc Pt
2 1 1
Cartesian
0.000 0.000 0.000 Ca
1.662 1.662 3.422 Ca
1.662 1.662 6.495 Tc
0.000 0.000 5.395 Pt
```


(3)
The following is a DFT calculation (GGA-PBEsol) of a geometry-optimized CaTc2Pt structure.

Results
The value obtained for the formation enthalpy at 0 K is 0.2854 eV per atom. Its crystal system is orthorhombic. The space-group type is No. 44. The raw total energy comes out at -30.488 eV/cell.

POSCAR file:
```
CaTc2Pt
1.0
-1.581 2.378 4.496
1.581 -2.378 4.496
1.581 2.378 -4.496
Ca Tc Pt
1 2 1
Cartesian
0.000 0.000 0.000 Ca
1.581 0.000 2.553 Tc
0.000 0.000 4.341 Tc
0.000 2.378 1.992 Pt
```


(4)
The following is a DFT calculation (GGA-PBEsol) of a geometry-optimized CaTcPt3 structure.

Results
The value obtained for the formation enthalpy at 0 K is 0.4220 eV per atom. Its crystal system is cubic. The space-group type is No. 221. The raw total energy comes out at -32.180 eV/cell.

POSCAR file:
```
CaTcPt3
1.0
4.775 0.000 0.000
0.000 4.775 0.000
0.000 0.000 4.775
Ca Tc Pt
1 1 3
Cartesian
0.000 0.000 0.000 Ca
2.388 2.388 2.388 Tc
0.000 2.388 2.388 Pt
2.388 0.000 2.388 Pt
2.388 2.388 0.000 Pt
```


(5)
The following is a DFT calculation (GGA-PBEsol) of a geometry-optimized Ca2TcPt structure.

Results
The value obtained for the formation enthalpy at 0 K is 0.2087 eV per atom. Its crystal system is monoclinic. The space-group type is No. 6. The raw total energy comes out at -21.661 eV/cell. The value obtained for the offset from the most stable computed form is 0.074 eV/atom.

POSCAR file:
```
Ca2TcPt
1.0
2.890 0.000 0.000
0.000 4.950 0.000
-0.012 0.000 5.425
Ca Tc Pt
2 1 1
Cartesian
0.000 0.000 0.000 Ca
0.001 2.475 3.577 Ca
1.445 0.000 2.518 Tc
1.447 2.475 1.050 Pt
```


(6)
The following is a DFT calculation (GGA-PBEsol) of a geometry-optimized CaTePt structure.

Results
For the formation energy without anion corrections, the calculation gives -600 meV/atom. Its crystal system is tetragonal. The space-group type is No. 107. The raw total energy comes out at -14.422 eV/cell.

POSCAR file:
```
CaTePt
1.0
-1.996 1.996 4.345
1.996 -1.996 4.345
1.996 1.996 -4.345
Ca Te Pt
1 1 1
Cartesian
0.000 0.000 0.000 Ca
0.000 0.000 5.760 Te
0.000 0.000 3.153 Pt
```


(7)
The following is a DFT calculation (GGA-PBEsol) of a geometry-optimized CaTlPt structure.

Results
The value obtained for the formation enthalpy at 0 K is -0.4950 eV per atom. Its crystal system is hexagonal. The space-group type is No. 187. The raw total energy comes out at -13.212 eV/cell.

POSCAR file:
```
CaTlPt
1.0
4.698 0.000 0.000
-2.349 4.069 0.000
0.000 0.000 3.556
Ca Tl Pt
1 1 1
Cartesian
0.000 0.000 0.000 Ca
0.000 2.712 1.778 Tl
2.349 1.356 1.778 Pt
```


(8)
The following is a DFT calculation (GGA-PBEsol) of a geometry-optimized Ca2TlPt structure.

Results
The value obtained for the formation enthalpy at 0 K is -0.6361 eV per atom. Its crystal system is tetragonal. The space-group type is No. 123. The raw total energy comes out at -16.404 eV/cell.

POSCAR file:
```
Ca2TlPt
1.0
3.547 0.000 0.000
0.000 3.547 0.000
0.000 0.000 7.607
Ca Tl Pt
2 1 1
Cartesian
0.000 0.000 1.639 Ca
0.000 0.000 5.968 Ca
1.773 1.773 3.804 Tl
1.773 1.773 0.000 Pt
```